[1]
Ce2AgGe after structural relaxation. Source: the Alexandria database, functional PBE.

abc: 3.8754 3.8754 6.5032
angles: 90.00 90.00 90.00
Sites, in units of the cell vectors:
Ce 0.0000 0.0000 0.2136
Ce 0.0000 0.0000 0.7864
Ag 0.5000 0.5000 0.5000
Ge 0.5000 0.5000 0.0000

## Properties
E_form	-1.59	eV per formula unit
symmetry	No. 123
D(E_F)	8.77	states/eV per cell


[2]
MgInAg2Se after structural relaxation. Source: the Alexandria database, functional PBE.

abc: 4.9884 5.4881 4.9884
angles: 90.00 90.00 90.00
Sites, in units of the cell vectors:
Ag 0.0000 0.0000 0.5000
Ag 0.5000 0.0000 0.0000
Se 0.5000 0.5000 0.5000
In 0.0000 0.5000 0.0000
Mg 0.0000 0.0000 0.0000

## Properties
E_form (uncorrected)	0.5361	eV per atom
symmetry	No. 123
D(E_F)	2.92	states/eV per cell


[3]
HoTm2ThSc after structural relaxation. Source: the Alexandria database, functional PBE.

abc: 4.9426 7.7338 7.7646
angles: 90.54 90.00 90.00
Sites, in units of the cell vectors:
Tm 0.7500 0.8423 0.5522
Tm 0.2500 0.3480 0.0511
Tm 0.2500 0.1577 0.4478
Tm 0.7500 0.6520 0.9489
Sc 0.7500 0.4513 0.3521
Sc 0.2500 0.5487 0.6479
Th 0.7500 0.0532 0.1491
Th 0.2500 0.9468 0.8509
Ho 0.2500 0.7511 0.2539
Ho 0.7500 0.2489 0.7461

## Properties
E_form	0.22	eV per formula unit
symmetry	No. 11
D(E_F)	14.48	states/eV per cell


[4]
Na2PrInSn2 after structural relaxation. Source: the Alexandria database, functional PBE.

abc: 4.6862 7.8976 9.5013
angles: 90.00 90.00 90.00
Sites, in units of the cell vectors:
Na 0.0000 0.8526 0.8331
Na 0.5000 0.5412 0.9227
Na 0.0000 0.3526 0.1669
Na 0.5000 0.0412 0.0773
Sn 0.0000 0.2568 0.8430
Sn 0.0000 0.7568 0.1570
Sn 0.5000 0.7654 0.6219
Sn 0.5000 0.2654 0.3781
Pr 0.0000 0.9805 0.4430
Pr 0.0000 0.4805 0.5570
In 0.5000 0.6491 0.3194
In 0.5000 0.1491 0.6806

## Properties
E_form	-2.35	eV per formula unit
symmetry	No. 26
D(E_F)	1.75	states/eV per cell


[5]
CaYAl after structural relaxation. Source: the Alexandria database, functional PBE.

abc: 5.1763 5.1763 5.1763
angles: 60.00 60.00 60.00
Sites, in units of the cell vectors:
Al 0.0000 0.0000 0.0000
Ca 0.7500 0.7500 0.7500
Y 0.2500 0.2500 0.2500

## Properties
relative energy among the computed polymorphs	227	meV/atom
E_form	-0.07	eV per formula unit
symmetry	No. 216
D(E_F)	0.20	states/eV per cell


[6]
Li2TlHg after structural relaxation. Source: the Alexandria database, functional PBE.

abc: 4.8795 4.8795 4.8795
angles: 60.00 60.00 60.00
Sites, in units of the cell vectors:
Tl 0.2500 0.2500 0.2500
Hg 0.5000 0.5000 0.5000
Li 0.0000 0.0000 0.0000
Li 0.7500 0.7500 0.7500

## Properties
E_form	-1.02	eV per formula unit
symmetry	No. 216
D(E_F)	1.70	states/eV per cell


[7]
Ho4Cu3Sb8 after structural relaxation. Source: the Alexandria database, functional PBE.

abc: 4.3341 4.3341 19.0631
angles: 90.00 90.00 90.00
Sites, in units of the cell vectors:
Cu 0.5000 0.5000 0.5000
Cu 0.0000 0.0000 0.0000
Cu 0.0000 0.0000 0.5000
Sb 0.0000 0.5000 0.4170
Sb 0.5000 0.0000 0.5830
Sb 0.5000 0.5000 0.2455
Sb 0.5000 0.0000 0.0715
Sb 0.0000 0.0000 0.7555
Sb 0.5000 0.5000 0.7545
Sb 0.0000 0.0000 0.2445
Sb 0.0000 0.5000 0.9285
Ho 0.0000 0.5000 0.6274
Ho 0.5000 0.0000 0.8831
Ho 0.0000 0.5000 0.1169
Ho 0.5000 0.0000 0.3726

## Properties
E_form (uncorrected)	-0.6275	eV per atom
symmetry	No. 115
D(E_F)	4.35	states/eV per cell


[8]
CoHg2Br after structural relaxation. Source: the Alexandria database, functional PBE.

abc: 3.3867 3.3867 8.1368
angles: 90.00 90.00 108.78
Sites, in units of the cell vectors:
Co 0.5000 0.5000 0.7500
Br 0.5000 0.5000 0.2500
Hg 0.0000 0.0000 0.5307
Hg 0.0000 0.0000 0.9693

## Properties
relative energy among the computed polymorphs	289	meV/atom
E_form (uncorrected)	0.3814	eV per atom
symmetry	No. 65
D(E_F)	5.51	states/eV per cell


[9]
Al2SiHg after structural relaxation. Source: the Alexandria database, functional PBE.

abc: 4.9158 4.9158 4.9158
angles: 127.05 127.05 78.17
Sites, in units of the cell vectors:
Hg 0.2500 0.7500 0.5000
Al 0.5000 0.5000 0.0000
Al 0.0000 0.0000 0.0000
Si 0.7500 0.2500 0.5000

## Properties
relative energy among the computed polymorphs	128	meV/atom
E_form (uncorrected)	0.3021	eV per atom
symmetry	No. 139
D(E_F)	1.30	states/eV per cell


[10]
LuAg2 after structural relaxation. Source: the Alexandria database, functional PBE.

abc: 5.2731 5.2731 5.2731
angles: 139.26 139.26 58.98
Sites, in units of the cell vectors:
Ag 0.6682 0.6682 0.0000
Ag 0.3318 0.3318 0.0000
Lu 0.0000 0.0000 0.0000

## Properties
E_form	-0.99	eV per formula unit
symmetry	No. 139
D(E_F)	1.44	states/eV per cell


[11]
Zr2RuCl after structural relaxation. Source: the Alexandria database, functional PBE.

abc: 3.1338 3.1338 7.7491
angles: 90.00 90.00 90.07
Sites, in units of the cell vectors:
Zr 0.0000 0.0000 0.9708
Zr 0.0000 0.0000 0.5292
Cl 0.5000 0.5000 0.2500
Ru 0.5000 0.5000 0.7500

## Properties
relative energy among the computed polymorphs	117	meV/atom
E_form (uncorrected)	-0.5795	eV per atom
symmetry	No. 123
D(E_F)	3.62	states/eV per cell


[12]
LiGdPuSn after structural relaxation. Source: the Alexandria database, functional PBE.

abc: 5.2970 5.2970 5.2970
angles: 60.00 60.00 60.00
Sites, in units of the cell vectors:
Sn 0.2500 0.2500 0.2500
Pu 0.0000 0.0000 0.0000
Li 0.7500 0.7500 0.7500
Gd 0.5000 0.5000 0.5000

## Properties
E_form	-0.79	eV per formula unit
symmetry	No. 216
D(E_F)	8.55	states/eV per cell


[13]
BiB2AuI after structural relaxation. Source: the Alexandria database, functional PBE.

abc: 4.9113 5.4846 4.9113
angles: 90.00 90.00 90.00
Sites, in units of the cell vectors:
Au 0.0000 0.5000 0.0000
Bi 0.0000 0.0000 0.0000
B 0.0000 0.0000 0.5000
B 0.5000 0.0000 0.0000
I 0.5000 0.5000 0.5000

## Properties
E_form (uncorrected)	1.6776	eV per atom
symmetry	No. 123
D(E_F)	2.63	states/eV per cell